Entry 1:
## Pr6Ru2CI3 (GGA-PBE)

Data for Pr6Ru2CI3 after structural relaxation.

Results
Uncorrected energy = -5.711 eV/atom
DOS at the Fermi energy = 9.182 states/eV/cell
Raw formation energy = -0.62 eV/atom

abc: 7.1521 7.1521 8.4256
angles: 98.18 98.18 119.89
With the nearest neighbours (Å) after each atom.
Fractional coordinates of all 12 atoms:
Pr (0.0587, 0.3729, 0.1778)  1 C 2.66, 2 Ru 2.84-2.85
Pr (0.2552, 0.2552, 0.8213)  1 C 2.68, 2 Ru 2.85
Pr (0.3729, 0.0587, 0.1778)  1 C 2.66, 2 Ru 2.84-2.85
Pr (0.6271, 0.9413, 0.8222)  1 C 2.66, 2 Ru 2.84-2.85
Pr (0.7448, 0.7448, 0.1787)  1 C 2.68, 2 Ru 2.85
Pr (0.9413, 0.6271, 0.8222)  1 C 2.66, 2 Ru 2.84-2.85
Ru (0.3332, 0.6668, 0.0000)  6 Pr 2.84-2.85
Ru (0.6668, 0.3332, 0.0000)  6 Pr 2.84-2.85
C (0.0000, 0.0000, 0.0000)  6 Pr 2.66-2.68
I (0.1680, 0.8320, 0.5000)  6 Pr 3.49-3.61
I (0.5000, 0.5000, 0.5000)  6 Pr 3.49-3.62
I (0.8320, 0.1680, 0.5000)  6 Pr 3.49-3.61

***

Entry 2:
## Pr8Ru3CI3 (GGA-PBE)

Data for Pr8Ru3CI3 after structural relaxation.

Results
Uncorrected energy = -5.813 eV/atom
DOS at the Fermi energy = 9.063 states/eV/cell
Raw formation energy = -0.48 eV/atom

abc: 9.5436 9.5436 9.5436
angles: 51.16 51.16 51.16
With the nearest neighbours (Å) after each atom.
Fractional coordinates of all 15 atoms:
Pr (0.2313, 0.2313, 0.2313)  3 Ru 2.87
Pr (0.2417, 0.7143, 0.7143)  1 C 2.65, 2 Ru 2.82
Pr (0.2857, 0.2858, 0.7583)  1 C 2.65, 2 Ru 2.82
Pr (0.2857, 0.7583, 0.2857)  1 C 2.65, 2 Ru 2.82
Pr (0.7143, 0.2417, 0.7143)  1 C 2.65, 2 Ru 2.82
Pr (0.7143, 0.7143, 0.2417)  1 C 2.65, 2 Ru 2.82
Pr (0.7583, 0.2857, 0.2857)  1 C 2.65, 2 Ru 2.82
Pr (0.7687, 0.7687, 0.7687)  3 Ru 2.87
Ru (0.0000, 0.0000, 0.5000)  6 Pr 2.82-2.87
Ru (0.0000, 0.5000, 0.0000)  6 Pr 2.82-2.87
Ru (0.5000, 0.0000, 0.0000)  6 Pr 2.82-2.87
C (0.5000, 0.5000, 0.5000)  6 Pr 2.65
I (0.0000, 0.5000, 0.5000)  6 Pr 3.47-3.58
I (0.5000, 0.0000, 0.5000)  6 Pr 3.47-3.58
I (0.5000, 0.5000, 0.0000)  6 Pr 3.47-3.58

***

Entry 3:
## Pr8C3SI4 (GGA-PBE)

Data for Pr8C3SI4 after structural relaxation.

Results
Uncorrected energy = -5.663 eV/atom
DOS at the Fermi energy = 5.744 states/eV/cell
Raw formation energy = -0.90 eV/atom

abc: 9.0873 9.0873 9.0873
angles: 52.23 52.23 52.23
With the nearest neighbours (Å) after each atom.
Fractional coordinates of all 16 atoms:
Pr (0.2044, 0.7361, 0.7361)  2 C 2.63, 1 S 2.82
Pr (0.2248, 0.2248, 0.2248)  3 C 2.68
Pr (0.2639, 0.2639, 0.7956)  2 C 2.63, 1 S 2.82
Pr (0.2639, 0.7956, 0.2639)  2 C 2.63, 1 S 2.82
Pr (0.7361, 0.2044, 0.7361)  2 C 2.63, 1 S 2.82
Pr (0.7361, 0.7361, 0.2044)  2 C 2.63, 1 S 2.82
Pr (0.7752, 0.7752, 0.7752)  3 C 2.68
Pr (0.7956, 0.2639, 0.2639)  2 C 2.63, 1 S 2.82
C (0.0000, 0.0000, 0.5000)  6 Pr 2.63-2.68
C (0.0000, 0.5000, 0.0000)  6 Pr 2.63-2.68
C (0.5000, 0.0000, 0.0000)  6 Pr 2.63-2.68
S (0.5000, 0.5000, 0.5000)  6 Pr 2.82
I (0.0000, 0.0000, 0.0000)  6 Pr 3.33
I (0.0000, 0.5000, 0.5000)  6 Pr 3.44-3.48
I (0.5000, 0.0000, 0.5000)  6 Pr 3.44-3.48
I (0.5000, 0.5000, 0.0000)  6 Pr 3.44-3.48

***

Entry 4:
## Pr6CS2I3 (GGA-PBE)

Data for Pr6CS2I3 after structural relaxation.

Results
Uncorrected energy = -5.473 eV/atom
DOS at the Fermi energy = 4.837 states/eV/cell
Raw formation energy = -1.24 eV/atom

abc: 7.1604 7.1604 8.0715
angles: 98.50 98.50 120.01
With the nearest neighbours (Å) after each atom.
Fractional coordinates of all 12 atoms:
Pr (0.0603, 0.3687, 0.1802)  1 C 2.61, 2 S 2.84
Pr (0.2483, 0.2483, 0.8189)  1 C 2.61, 2 S 2.85
Pr (0.3687, 0.0603, 0.1802)  1 C 2.61, 2 S 2.84
Pr (0.6313, 0.9397, 0.8198)  1 C 2.61, 2 S 2.84
Pr (0.7517, 0.7517, 0.1811)  1 C 2.61, 2 S 2.85
Pr (0.9397, 0.6313, 0.8198)  1 C 2.61, 2 S 2.84
C (0.0000, 0.0000, 0.0000)  6 Pr 2.61
S (0.3333, 0.6667, 0.0000)  6 Pr 2.84-2.85
S (0.6667, 0.3333, 0.0000)  6 Pr 2.84-2.85
I (0.1688, 0.8312, 0.5000)  6 Pr 3.38-3.54
I (0.5000, 0.5000, 0.5000)  6 Pr 3.37-3.55
I (0.8312, 0.1688, 0.5000)  6 Pr 3.38-3.54

***

Entry 5:
## Pr6C2SI3 (GGA-PBE)

Data for Pr6C2SI3 after structural relaxation.

Results
Uncorrected energy = -5.634 eV/atom
DOS at the Fermi energy = 3.601 states/eV/cell
Raw formation energy = -0.98 eV/atom

abc: 6.9637 6.9637 8.1453
angles: 98.20 98.20 120.01
With the nearest neighbours (Å) after each atom.
Fractional coordinates of all 12 atoms:
Pr (0.0873, 0.4411, 0.8230)  2 C 2.64, 1 S 2.82
Pr (0.2052, 0.2052, 0.1765)  2 C 2.64, 1 S 2.82
Pr (0.4411, 0.0873, 0.8230)  2 C 2.64, 1 S 2.82
Pr (0.5589, 0.9127, 0.1770)  2 C 2.64, 1 S 2.82
Pr (0.7948, 0.7948, 0.8235)  2 C 2.64, 1 S 2.82
Pr (0.9127, 0.5589, 0.1770)  2 C 2.64, 1 S 2.82
C (0.1667, 0.8333, 0.0000)  6 Pr 2.64
C (0.8333, 0.1667, 0.0000)  6 Pr 2.64
S (0.5000, 0.5000, 0.0000)  6 Pr 2.82
I (0.0000, 0.0000, 0.5000)  6 Pr 3.34-3.48
I (0.3359, 0.6641, 0.5000)  6 Pr 3.35-3.48
I (0.6641, 0.3359, 0.5000)  6 Pr 3.35-3.48

***

Entry 6:
## Pr8CS3I4 (GGA-PBE)

Data for Pr8CS3I4 after structural relaxation.

Results
Uncorrected energy = -5.419 eV/atom
DOS at the Fermi energy = 8.274 states/eV/cell
Raw formation energy = -1.29 eV/atom

abc: 9.0964 9.0964 9.0964
angles: 54.17 54.17 54.17
With the nearest neighbours (Å) after each atom.
Fractional coordinates of all 16 atoms:
Pr (0.2290, 0.2290, 0.2290)  3 S 2.79
Pr (0.2512, 0.7150, 0.7150)  1 C 2.62, 2 S 2.85
Pr (0.2850, 0.2850, 0.7488)  1 C 2.62, 2 S 2.85
Pr (0.2850, 0.7488, 0.2850)  1 C 2.62, 2 S 2.85
Pr (0.7150, 0.2512, 0.7150)  1 C 2.62, 2 S 2.85
Pr (0.7150, 0.7150, 0.2512)  1 C 2.62, 2 S 2.85
Pr (0.7488, 0.2850, 0.2850)  1 C 2.62, 2 S 2.85
Pr (0.7710, 0.7710, 0.7710)  3 S 2.79
C (0.5000, 0.5000, 0.5000)  6 Pr 2.62
S (0.0000, 0.0000, 0.5000)  6 Pr 2.79-2.85
S (0.0000, 0.5000, 0.0000)  6 Pr 2.79-2.85
S (0.5000, 0.0000, 0.0000)  6 Pr 2.79-2.85
I (0.0000, 0.0000, 0.0000)  6 Pr 3.56
I (0.0000, 0.5000, 0.5000)  6 Pr 3.38-3.40
I (0.5000, 0.0000, 0.5000)  6 Pr 3.38-3.40
I (0.5000, 0.5000, 0.0000)  6 Pr 3.38-3.40

***

Entry 7:
## Pr2ScC2I2 (GGA-PBE)

Data for Pr2ScC2I2 after structural relaxation.

Results
Uncorrected energy = -5.988 eV/atom
DOS at the Fermi energy = 3.038 states/eV/cell
Raw formation energy = -0.64 eV/atom

abc: 10.7872 10.7872 10.7872
angles: 156.80 156.80 33.05
With the nearest neighbours (Å) after each atom.
Fractional coordinates of all 7 atoms:
Pr (0.0786, 0.0786, 0.0000)  4 C 2.71
Pr (0.9214, 0.9214, 0.0000)  4 C 2.71
Sc (0.5000, 0.5000, 0.0000)  4 C 2.17
C (0.0000, 0.5000, 0.5000)  2 Sc 2.17
C (0.5000, 0.0000, 0.5000)  2 Sc 2.17
I (0.3409, 0.3409, 0.0000)  1 Sc 3.29, 4 Pr 3.49
I (0.6591, 0.6591, 0.0000)  1 Sc 3.29, 4 Pr 3.49

***

Entry 8:
## Pr4CSeI2 (GGA-PBE)

Data for Pr4CSeI2 after structural relaxation.

Results
Uncorrected energy = -5.417 eV/atom
DOS at the Fermi energy = 1.977 states/eV/cell
Raw formation energy = -1.05 eV/atom

abc: 7.4012 4.0684 8.0732
angles: 90.00 106.67 90.00
With the nearest neighbours (Å) after each atom.
Fractional coordinates of all 8 atoms:
Pr (0.1951, 0.0000, 0.1798)  2 C 2.67
Pr (0.2254, 0.5000, 0.8136)  1 C 2.55
Pr (0.7746, 0.5000, 0.1864)  1 C 2.55
Pr (0.8049, 0.0000, 0.8202)  2 C 2.67
C (0.0000, 0.5000, 0.0000)  6 Pr 2.55-2.67
Se (0.5000, 0.0000, 0.0000)  6 Pr 2.96-3.01
I (0.0000, 0.0000, 0.5000)  6 Pr 3.30
I (0.5000, 0.5000, 0.5000)  6 Pr 3.54-3.67

***

Entry 9:
## Pr4SiCI2 (GGA-PBE)

Data for Pr4SiCI2 after structural relaxation.

Results
Uncorrected energy = -5.391 eV/atom
DOS at the Fermi energy = 4.110 states/eV/cell
Raw formation energy = -0.78 eV/atom

abc: 7.2213 4.1229 8.2375
angles: 90.00 106.90 90.00
With the nearest neighbours (Å) after each atom.
Fractional coordinates of all 8 atoms:
Pr (0.2043, 0.0000, 0.1789)  2 C 2.71, 1 Si 2.93
Pr (0.2422, 0.5000, 0.8127)  1 C 2.65, 2 Si 2.90
Pr (0.7578, 0.5000, 0.1873)  1 C 2.65, 2 Si 2.90
Pr (0.7957, 0.0000, 0.8211)  2 C 2.71, 1 Si 2.93
Si (0.5000, 0.0000, 0.0000)  6 Pr 2.90-2.93
C (0.0000, 0.5000, 0.0000)  6 Pr 2.65-2.71
I (0.0000, 0.0000, 0.5000)  6 Pr 3.37-3.38
I (0.5000, 0.5000, 0.5000)  6 Pr 3.54-3.59

***

Entry 10:
## Pr8Si3CI4 (GGA-PBE)

Data for Pr8Si3CI4 after structural relaxation.

Results
Uncorrected energy = -5.235 eV/atom
DOS at the Fermi energy = 7.502 states/eV/cell
Raw formation energy = -0.86 eV/atom

abc: 9.2672 9.2672 9.2672
angles: 54.60 54.60 54.60
With the nearest neighbours (Å) after each atom.
Fractional coordinates of all 16 atoms:
Pr (0.2332, 0.2332, 0.2332)  3 Si 2.91
Pr (0.2550, 0.7158, 0.7158)  1 C 2.70, 2 Si 2.95
Pr (0.2842, 0.2842, 0.7450)  1 C 2.70, 2 Si 2.95
Pr (0.2842, 0.7450, 0.2842)  1 C 2.70, 2 Si 2.95
Pr (0.7158, 0.2550, 0.7158)  1 C 2.70, 2 Si 2.95
Pr (0.7158, 0.7158, 0.2550)  1 C 2.70, 2 Si 2.95
Pr (0.7450, 0.2842, 0.2842)  1 C 2.70, 2 Si 2.95
Pr (0.7668, 0.7668, 0.7668)  3 Si 2.91
Si (0.0000, 0.0000, 0.5000)  6 Pr 2.91-2.95
Si (0.0000, 0.5000, 0.0000)  6 Pr 2.91-2.95
Si (0.5000, 0.0000, 0.0000)  6 Pr 2.91-2.95
C (0.5000, 0.5000, 0.5000)  6 Pr 2.70
I (0.0000, 0.0000, 0.0000)  6 Pr 3.62
I (0.0000, 0.5000, 0.5000)  6 Pr 3.41
I (0.5000, 0.0000, 0.5000)  6 Pr 3.41
I (0.5000, 0.5000, 0.0000)  6 Pr 3.41

***

Entry 11:
## Pr6Si2CI3 (GGA-PBE)

Data for Pr6Si2CI3 after structural relaxation.

Results
Uncorrected energy = -5.291 eV/atom
DOS at the Fermi energy = 5.728 states/eV/cell
Raw formation energy = -0.84 eV/atom

abc: 7.2978 7.2978 8.2307
angles: 98.50 98.50 119.95
With the nearest neighbours (Å) after each atom.
Fractional coordinates of all 12 atoms:
Pr (0.0621, 0.3686, 0.1867)  1 C 2.68, 2 Si 2.93
Pr (0.2433, 0.2433, 0.8111)  1 C 2.68, 2 Si 2.94
Pr (0.3686, 0.0621, 0.1867)  1 C 2.68, 2 Si 2.93
Pr (0.6314, 0.9379, 0.8133)  1 C 2.68, 2 Si 2.93
Pr (0.7567, 0.7567, 0.1889)  1 C 2.68, 2 Si 2.94
Pr (0.9379, 0.6314, 0.8133)  1 C 2.68, 2 Si 2.93
Si (0.3338, 0.6662, 0.0000)  6 Pr 2.93-2.94
Si (0.6662, 0.3338, 0.0000)  6 Pr 2.93-2.94
C (0.0000, 0.0000, 0.0000)  6 Pr 2.68
I (0.1723, 0.8277, 0.5000)  6 Pr 3.40-3.56
I (0.5000, 0.5000, 0.5000)  6 Pr 3.40-3.59
I (0.8277, 0.1723, 0.5000)  6 Pr 3.40-3.56

***

Entry 12:
## PrSmCI (GGA-PBE)

Data for PrSmCI after structural relaxation.

Results
Uncorrected energy = -5.761 eV/atom
DOS at the Fermi energy = 2.185 states/eV/cell
Raw formation energy = -0.69 eV/atom

abc: 8.0890 8.0890 8.0890
angles: 27.69 27.69 27.69
With the nearest neighbours (Å) after each atom.
Fractional coordinates of all 4 atoms:
Pr (0.0000, 0.0000, 0.0000)  3 C 2.65
Sm (0.7826, 0.7826, 0.7826)  3 C 2.57
C (0.3948, 0.3948, 0.3948)  3 Sm 2.57, 3 Pr 2.65
I (0.2219, 0.2219, 0.2219)  3 Sm 3.33, 3 Pr 3.43